Here is a geometry-optimized CaCdAs2Rh5 structure from Alexandria via LeMat-Bulk. Energies are from PBE-GGA.

- ΔH_f (0 K) (meV per atom) = -268.5
- DOS at the Fermi energy (states/eV per atom) = 0.99
- magnetic moment (μB/cell) = 0.00
- energy (Ry per atom) = -0.4197

Geometry as CIF:
```
data_CaCdAs2Rh5
_chemical_formula_sum 'Ca1 Cd1 As2 Rh5'
_symmetry_space_group_name_H-M 'P 4/m m m'
_symmetry_Int_Tables_number 123
_symmetry_space_group_name_Hall '-P 4 2'
_cell_length_a 4.344
_cell_length_b 4.344
_cell_length_c 8.283
_cell_angle_alpha 90.00
_cell_angle_beta 90.00
_cell_angle_gamma 90.00
loop_
_atom_site_label
_atom_site_type_symbol
_atom_site_fract_x
_atom_site_fract_y
_atom_site_fract_z
_atom_site_occupancy
Ca1 Ca 0.000 0.000 0.000 1
Cd1 Cd 0.000 0.000 0.500 1
As1 As 0.500 0.500 0.350 1
Rh1 Rh 0.000 0.500 0.237 1
Rh2 Rh 0.500 0.500 0.000 1
```

***

Here is a geometry-optimized Ca2CdAs2Rh5 structure from Alexandria via LeMat-Bulk. Energies are from PBE-GGA.

- ΔH_f (0 K) (meV per atom) = -591.6
- DOS at the Fermi energy (states/eV per atom) = 0.26
- magnetic moment (μB/cell) = 0.00
- energy (Ry per atom) = -0.4181

Geometry as CIF:
```
data_Ca2CdAs2Rh5
_chemical_formula_sum 'Ca4 Cd2 As4 Rh10'
_symmetry_space_group_name_H-M 'P 4/m b m'
_symmetry_Int_Tables_number 127
_symmetry_space_group_name_Hall '-P 4 2ab'
_cell_length_a 9.934
_cell_length_b 9.934
_cell_length_c 3.560
_cell_angle_alpha 90.00
_cell_angle_beta 90.00
_cell_angle_gamma 90.00
loop_
_atom_site_label
_atom_site_type_symbol
_atom_site_fract_x
_atom_site_fract_y
_atom_site_fract_z
_atom_site_occupancy
Ca1 Ca 0.173 0.327 0.000 1
Cd1 Cd 0.000 0.000 0.000 1
As1 As 0.126 0.626 0.000 1
Rh1 Rh 0.000 0.500 0.500 1
Rh2 Rh 0.069 0.786 0.500 1
```

***

Here is a geometry-optimized Ca2ScCdAs structure from Alexandria via LeMat-Bulk. Energies are from PBE-GGA.

- ΔH_f (0 K) (meV per atom) = 389.7
- DOS at the Fermi energy (states/eV per atom) = 1.57
- magnetic moment (μB/cell) = 1.64
- energy (Ry per atom) = -0.2051

Geometry as CIF:
```
data_Ca2ScCdAs
_chemical_formula_sum 'Ca2 Sc1 Cd1 As1'
_symmetry_space_group_name_H-M 'P 4/m m m'
_symmetry_Int_Tables_number 123
_symmetry_space_group_name_Hall '-P 4 2'
_cell_length_a 5.791
_cell_length_b 5.791
_cell_length_c 5.162
_cell_angle_alpha 90.00
_cell_angle_beta 90.00
_cell_angle_gamma 90.00
loop_
_atom_site_label
_atom_site_type_symbol
_atom_site_fract_x
_atom_site_fract_y
_atom_site_fract_z
_atom_site_occupancy
Ca1 Ca 0.000 0.500 0.000 1
Sc1 Sc 0.000 0.000 0.500 1
Cd1 Cd 0.500 0.500 0.000 1
As1 As 0.500 0.500 0.500 1
```

***

Here is a geometry-optimized CaCdAs2Se structure from Alexandria via LeMat-Bulk. Energies are from PBE-GGA.

- distance to the lowest polymorph of the same formula (meV per atom) = 0
- DOS at the Fermi energy (states/eV per atom) = 1.25
- magnetic moment (μB/cell) = 0.00
- formation energy (no corrections) (eV per atom) = 0.100
- energy (Ry per atom) = -0.2234

Geometry as CIF:
```
data_CaCdAs2Se
_chemical_formula_sum 'Ca1 Cd1 As2 Se1'
_symmetry_space_group_name_H-M 'P 4/m m m'
_symmetry_Int_Tables_number 123
_symmetry_space_group_name_Hall '-P 4 2'
_cell_length_a 5.116
_cell_length_b 5.116
_cell_length_c 5.406
_cell_angle_alpha 90.00
_cell_angle_beta 90.00
_cell_angle_gamma 90.00
loop_
_atom_site_label
_atom_site_type_symbol
_atom_site_fract_x
_atom_site_fract_y
_atom_site_fract_z
_atom_site_occupancy
Ca1 Ca 0.000 0.000 0.000 1
Cd1 Cd 0.500 0.500 0.500 1
As1 As 0.000 0.500 0.500 1
Se1 Se 0.500 0.500 0.000 1
```